First-principles (PBE) data for crystalline SrHg5 at its relaxed geometry, as listed in Alexandria.

a b c (Å): 4.773 13.765 5.081
angles (deg): 90.00 90.00 90.00
Space group Cmmm (No. 65)
Inequivalent atoms, fractional coordinates:
Sr 0.000 0.000 0.000 [2 per cell]
Hg 0.000 0.168 0.500 [4 per cell]
Hg 0.000 0.326 0.000 [4 per cell]
Hg 0.000 0.500 0.500 [2 per cell]

energy relative to the elements	-0.282	eV per atom
crystal system	orthorhombic
relative energy among the computed polymorphs	13.0	meV/atom
raw total energy	-0.813	eV per atom


First-principles (PBE) data for crystalline SrHg at its relaxed geometry, as listed in Alexandria.

a b c (Å): 4.7496 4.7496 11.5295
angles (deg): 90.00 90.00 120.00
Space group R-3m (No. 166, hexagonal axes)
Inequivalent atoms, fractional coordinates:
Sr 0.0000 0.0000 0.0000 [3 per cell]
Hg 0.0000 0.0000 0.5000 [3 per cell]

energy relative to the elements	-0.437	eV per atom
crystal system	trigonal
raw total energy	-1.428	eV per atom


First-principles (PBE) data for crystalline SrHg at its relaxed geometry, as listed in Alexandria.

a b c (Å): 5.0182 5.0182 21.5014
angles (deg): 90.00 90.00 120.00
Space group R-3m (No. 166, hexagonal axes)
Inequivalent atoms, fractional coordinates:
Sr 0.0000 0.0000 0.0888 [6 per cell]
Hg 0.0000 0.0000 0.3313 [6 per cell]

energy relative to the elements	-0.347	eV per atom
crystal system	trigonal
raw total energy	-1.339	eV per atom


First-principles (PBE) data for crystalline SrHg2 at its relaxed geometry, as listed in Alexandria.

a b c (Å): 8.842 8.842 8.842
angles (deg): 90.00 90.00 90.00
Space group Fd-3m (No. 227, origin choice 2)
Inequivalent atoms, fractional coordinates:
Sr 0.125 0.125 0.125 [8 per cell]
Hg 0.000 0.000 0.500 [16 per cell]

energy relative to the elements	-0.346	eV per atom
crystal system	cubic
raw total energy	-1.107	eV per atom


First-principles (PBE) data for crystalline SrHg at its relaxed geometry, as listed in Alexandria.

a b c (Å): 12.180 4.297 8.759
angles (deg): 90.00 112.06 90.00
Space group Cm (No. 8)
Inequivalent atoms, fractional coordinates:
Sr 0.000 0.000 0.000 [2 per cell]
Sr 0.148 0.500 0.705 [2 per cell]
Sr 0.320 0.500 0.354 [2 per cell]
Hg 0.030 0.500 0.306 [2 per cell]
Hg 0.281 0.000 0.022 [2 per cell]
Hg 0.360 0.000 0.675 [2 per cell]

energy relative to the elements	-0.462	eV per atom
crystal system	monoclinic
raw total energy	-1.454	eV per atom


First-principles (PBE) data for crystalline Sr5Hg at its relaxed geometry, as listed in Alexandria.

a b c (Å): 14.292 4.243 10.018
angles (deg): 90.00 111.99 90.00
Space group C2/m (No. 12)
Inequivalent atoms, fractional coordinates:
Sr 0.000 0.000 0.000 [2 per cell]
Sr 0.128 0.500 0.371 [4 per cell]
Sr 0.171 0.500 0.788 [4 per cell]
Hg 0.000 0.000 0.500 [2 per cell]

energy relative to the elements	-0.153	eV per atom
crystal system	monoclinic
relative energy among the computed polymorphs	28.4	meV/atom
raw total energy	-1.605	eV per atom


no.,DOS(E_F) (states/eV/cell)
1,6.2
2,4.2
3,8.9
4,15.6
5,9.3
6,16.0